Compound: BaCa2Os
Source: Alexandria via LeMat-Bulk
Functional: PBE
Structure: relaxed

Unit cell a=5.445 b=5.445 c=5.445 alpha=60.00 beta=60.00 gamma=60.00
Fractional coordinates of all 4 atoms:
Ca  0.250  0.250  0.250
Os  0.750  0.750  0.750
Ca  0.000  0.000  0.000
Ba  0.500  0.500  0.500

energy of formation from the pure elements = 603 meV/atom
symmetry = F-43m (216)
magnetization = 0.00 μB per cell
total DFT energy (no corrections) = -14.7 eV per cell